Below is CdB after structural relaxation, with properties calculated at the PBE level.

symmetry = Fm-3m (225)
mass density = 6.56 g cm⁻³
E_tot = -2.3812 eV/atom

abc: 4.996 4.996 4.996
angles: 90.00 90.00 90.00
Fractional coordinates of all 8 atoms:
Cd  0.500  0.500  0.500
Cd  0.500  0.000  0.000
Cd  0.000  0.500  0.000
Cd  0.000  0.000  0.500
B  0.000  0.000  0.000
B  0.000  0.500  0.500
B  0.500  0.000  0.500
B  0.500  0.500  0.000